This record from the Alexandria database describes an optimized crystal structure of AlSb. The functional is GGA-PBE.

## Properties
The calculation puts the total energy at -3.67 eV/atom. The value obtained for the formation energy (no corrections) is 264 meV/atom. For the density of states at the Fermi level, the calculation gives 0.416 states/eV/atom. As for the symmetry: R-3m (166). The calculation puts the total magnetization at 0.000 μB/f.u.

Structure (POSCAR):
```
AlSb
1.0
6.0018 0.0093 0.0060
4.1699 4.3167 0.0060
4.1699 1.7734 3.9356
Sb Al
2 2
Direct
0.0923 0.0923 0.0923 Sb
0.9077 0.9077 0.9077 Sb
0.3518 0.3518 0.3518 Al
0.6482 0.6482 0.6482 Al
```